Computed, not measured: a geometry-optimized HfTa2SbBr structure at the PBE-GGA level of DFT.

Properties
**Formation energy (no corrections)**: 8.62 eV per formula unit
**V**: 139 Å³/f.u.
**Magnetic moment**: 0.0 μB per formula unit
**Raw total energy**: -6.1660 eV/atom

abc: 5.086 5.086 5.386
angles: 90.00 90.00 90.00
Space group P4/mmm (No. 123)
Inequivalent atoms, fractional coordinates:
Hf  0.000  0.000  0.000 [1 per cell]
Ta  0.000  0.500  0.500 [2 per cell]
Sb  0.000  0.000  0.500 [1 per cell]
Br  0.500  0.500  0.000 [1 per cell]